Li5Ca2Zn5 PBE relaxed; M_tot = 0.0 Bohr magnetons per cell; formation energy = -0.174 eV/atom; SG = Pmmm (47)
1.0
-1.8825 -1.0235 -3.8200
5.0017 -0.6586 -2.2883
-0.0685 -9.2270 2.5060
Li Ca Zn
5 2 5
direct
0.5000 0.5000 0.5000
0.5000 0.7511 0.2444
0.5000 0.2489 0.7556
0.5000 0.2489 0.2444
0.5000 0.7511 0.7556
0.0000 0.5000 0.0000
0.0000 0.0000 0.5000
0.0000 0.5000 0.3324
0.0000 0.0000 0.8351
0.0000 0.0000 0.1649
0.0000 0.5000 0.6676
0.5000 0.0000 0.0000